[1]
VASP calculation (PBE) on a relaxed structure of ThPaOs2.

Geometry as POSCAR:
```
ThPaOs2
1.0
-2.680 -0.501 -2.088
1.683 -2.564 -1.545
-2.836 -4.742 4.780
Pa Os Th
1 2 1
direct
0.500 0.500 0.000
0.000 0.000 0.782
0.000 0.000 0.218
0.500 0.500 0.500
```

Values from the calculation:
distance to the lowest polymorph of the same formula: 0 meV/atom
calculated formation energy: -77 kJ/mol of formula units
E: -40.18 eV per formula unit

[2]
VASP calculation (PBE) on a relaxed structure of ThPa2Os.

Geometry as POSCAR:
```
ThPa2Os
1.0
-1.681 2.413 -2.070
-2.655 0.223 2.416
3.672 5.578 3.522
Pa Os Th
2 1 1
direct
0.000 0.000 0.800
0.000 0.000 0.200
0.500 0.500 0.000
0.500 0.500 0.500
```

Values from the calculation:
distance to the lowest polymorph of the same formula: 0 meV/atom
calculated formation energy: -39 kJ/mol of formula units
E: -38.04 eV per formula unit

[3]
VASP calculation (PBE) on a relaxed structure of Th2PaOs2.

Geometry as POSCAR:
```
Th2PaOs2
1.0
6.544 0.000 -2.017
0.000 7.838 0.000
0.313 0.000 9.279
Th Pa Os
8 4 8
direct
0.527 0.217 0.076
0.027 0.283 0.076
0.973 0.717 0.924
0.473 0.783 0.924
0.738 0.607 0.252
0.238 0.893 0.252
0.762 0.107 0.748
0.262 0.393 0.748
0.459 0.298 0.420
0.541 0.702 0.580
0.959 0.202 0.420
0.041 0.798 0.580
0.809 0.954 0.149
0.309 0.546 0.149
0.691 0.454 0.851
0.191 0.046 0.851
0.833 0.476 0.587
0.333 0.024 0.587
0.667 0.976 0.413
0.167 0.524 0.413
```

Values from the calculation:
calculated formation energy: -142 kJ/mol of formula units
E: -48.27 eV per formula unit

[4]
VASP calculation (PBE) on a relaxed structure of Th3PaOs8.

Geometry as POSCAR:
```
Th3PaOs8
1.0
-0.545 0.954 -5.327
2.779 -2.988 -3.596
-5.950 -6.479 -3.328
Th Pa Os
3 1 8
direct
0.375 0.375 0.876
0.000 0.000 0.001
0.500 0.500 0.500
0.875 0.875 0.376
0.935 0.437 0.190
0.440 0.938 0.684
0.437 0.437 0.190
0.938 0.938 0.684
0.188 0.188 0.436
0.688 0.688 0.937
0.437 0.935 0.190
0.938 0.440 0.684
```

Values from the calculation:
calculated formation energy: -290 kJ/mol of formula units
E: -124.60 eV per formula unit

[5]
VASP calculation (PBE) on a relaxed structure of PaTiOs.

Geometry as POSCAR:
```
PaTiOs
1.0
2.964 0.000 0.000
0.000 4.590 0.000
0.000 -2.295 3.975
Pa Os Ti
1 1 1
direct
0.663 0.333 0.667
0.356 0.667 0.333
0.982 0.000 0.000
```

Values from the calculation:
distance to the lowest polymorph of the same formula: 156 meV/atom
calculated formation energy: -42 kJ/mol of formula units
E: -29.06 eV per formula unit

[6]
VASP calculation (PBE) on a relaxed structure of Pa2TiOs.

Geometry as POSCAR:
```
Pa2TiOs
1.0
-1.090 -2.625 1.015
1.777 -1.865 1.572
-2.675 3.082 9.579
Pa Os Ti
2 1 1
direct
0.410 0.410 0.769
0.590 0.590 0.231
0.000 0.000 0.000
0.500 0.500 0.500
```

Values from the calculation:
distance to the lowest polymorph of the same formula: 203 meV/atom
calculated formation energy: 93 kJ/mol of formula units
E: -37.15 eV per formula unit

[7]
VASP calculation (PBE) on a relaxed structure of Pa2TiOs.

Geometry as POSCAR:
```
Pa2TiOs
1.0
-2.696 -2.442 -0.269
0.843 -0.416 -4.668
3.095 -3.512 0.872
Pa Os Ti
2 1 1
direct
0.000 0.000 0.500
0.000 0.500 0.000
0.500 0.500 0.500
0.500 0.000 0.000
```

Values from the calculation:
distance to the lowest polymorph of the same formula: 0 meV/atom
calculated formation energy: 15 kJ/mol of formula units
E: -37.96 eV per formula unit

[8]
VASP calculation (PBE) on a relaxed structure of PaTiOs.

Geometry as POSCAR:
```
PaTiOs
1.0
-2.728 2.978 -1.250
-4.153 -0.790 0.032
-2.728 3.307 6.683
Os Ti Pa
2 2 2
direct
0.062 0.062 0.813
0.938 0.938 0.187
0.641 0.641 0.077
0.359 0.359 0.923
0.206 0.206 0.381
0.794 0.794 0.619
```

Values from the calculation:
distance to the lowest polymorph of the same formula: 0 meV/atom
calculated formation energy: -87 kJ/mol of formula units
E: -29.52 eV per formula unit

Calculated values (μB per formula unit) of spin magnetization for the records, taken in order: 0.00 0.00 0.00 0.00 0.00 0.00 0.00 0.00.